Density functional theory data (PBE) for Tb2Pm3Sm5 after structural relaxation.

Cell and atoms, written as CIF:
```
data_Tb2Pm3Sm5
_cell_length_a 9.461
_cell_length_b 13.781
_cell_length_c 11.063
_cell_angle_alpha 90.00
_cell_angle_beta 90.00
_cell_angle_gamma 90.00
_symmetry_space_group_name_H-M 'I b a m'
_symmetry_Int_Tables_number 72
_symmetry_space_group_name_Hall '-I 2 2c'
loop_
_atom_site_label
_atom_site_type_symbol
_atom_site_fract_x
_atom_site_fract_y
_atom_site_fract_z
_atom_site_occupancy
Tb1 Tb 0.090 0.126 0.000 1
Pm1 Pm 0.000 0.000 0.250 1
Pm2 Pm 0.249 0.375 0.000 1
Sm1 Sm 0.000 0.250 0.250 1
Sm2 Sm 0.000 0.500 0.250 1
Sm3 Sm 0.098 0.376 0.500 1
```

## Properties
As for the crystal system: orthorhombic. For the energy relative to the lowest polymorph listed for this composition, the calculation gives 182.1 meV/atom.

Density functional theory data (PBE) for TbPm2Sm after structural relaxation.

Cell and atoms, written as CIF:
```
data_TbPm2Sm
_cell_length_a 3.6383
_cell_length_b 3.6383
_cell_length_c 35.2502
_cell_angle_alpha 90.00
_cell_angle_beta 90.00
_cell_angle_gamma 120.00
_symmetry_space_group_name_H-M 'R 3 m'
_symmetry_Int_Tables_number 160
_symmetry_space_group_name_Hall 'R 3 -2"'
loop_
_atom_site_label
_atom_site_type_symbol
_atom_site_fract_x
_atom_site_fract_y
_atom_site_fract_z
_atom_site_occupancy
Tb1 Tb 0.0000 0.0000 0.0000 1
Pm1 Pm 0.0000 0.0000 0.4157 1
Pm2 Pm 0.0000 0.0000 0.5836 1
Sm1 Sm 0.0000 0.0000 0.8330 1
```

## Properties
As for the crystal system: trigonal. For the energy relative to the lowest polymorph listed for this composition, the calculation gives 1.3 meV/atom.

Density functional theory data (PBE) for Tb5Pm6Sm2 after structural relaxation.

Cell and atoms, written as CIF:
```
data_Tb5Pm6Sm2
_cell_length_a 11.800
_cell_length_b 20.570
_cell_length_c 3.635
_cell_angle_alpha 90.00
_cell_angle_beta 90.00
_cell_angle_gamma 90.00
_symmetry_space_group_name_H-M 'P b a m'
_symmetry_Int_Tables_number 55
_symmetry_space_group_name_Hall '-P 2 2ab'
loop_
_atom_site_label
_atom_site_type_symbol
_atom_site_fract_x
_atom_site_fract_y
_atom_site_fract_z
_atom_site_occupancy
Tb1 Tb 0.000 0.000 0.000 1
Tb2 Tb 0.090 0.276 0.000 1
Tb3 Tb 0.199 0.555 0.000 1
Pm1 Pm 0.060 0.422 0.500 1
Pm2 Pm 0.079 0.134 0.500 1
Pm3 Pm 0.177 0.869 0.000 1
Sm1 Sm 0.169 0.714 0.500 1
```

## Properties
As for the crystal system: orthorhombic.

Density functional theory data (PBE) for Tb6PmSm4 after structural relaxation.

Cell and atoms, written as CIF:
```
data_Tb6PmSm4
_cell_length_a 7.697
_cell_length_b 7.697
_cell_length_c 13.134
_cell_angle_alpha 90.00
_cell_angle_beta 90.00
_cell_angle_gamma 90.00
_symmetry_space_group_name_H-M 'I -4 2 m'
_symmetry_Int_Tables_number 121
_symmetry_space_group_name_Hall 'I -4 2'
loop_
_atom_site_label
_atom_site_type_symbol
_atom_site_fract_x
_atom_site_fract_y
_atom_site_fract_z
_atom_site_occupancy
Tb1 Tb 0.000 0.500 0.000 1
Tb2 Tb 0.242 0.242 0.186 1
Pm1 Pm 0.000 0.000 0.000 1
Sm1 Sm 0.171 0.171 0.424 1
```

## Properties
As for the crystal system: tetragonal. For the energy relative to the lowest polymorph listed for this composition, the calculation gives 119.0 meV/atom.

Density functional theory data (PBE) for Tb5Pm12Sm2 after structural relaxation.

Cell and atoms, written as CIF:
```
data_Tb5Pm12Sm2
_cell_length_a 17.989
_cell_length_b 11.743
_cell_length_c 6.238
_cell_angle_alpha 90.00
_cell_angle_beta 102.74
_cell_angle_gamma 90.00
_symmetry_space_group_name_H-M 'C 1 2/m 1'
_symmetry_Int_Tables_number 12
_symmetry_space_group_name_Hall '-C 2y'
loop_
_atom_site_label
_atom_site_type_symbol
_atom_site_fract_x
_atom_site_fract_y
_atom_site_fract_z
_atom_site_occupancy
Tb1 Tb 0.000 0.000 0.000 1
Tb2 Tb 0.177 0.500 0.359 1
Tb3 Tb 0.214 0.000 0.050 1
Pm1 Pm 0.055 0.500 0.774 1
Pm2 Pm 0.104 0.251 0.116 1
Pm3 Pm 0.122 0.000 0.497 1
Pm4 Pm 0.198 0.257 0.700 1
Sm1 Sm 0.000 0.227 0.500 1
```

## Properties
As for the crystal system: monoclinic. For the energy relative to the lowest polymorph listed for this composition, the calculation gives 0.0 meV/atom.

Density functional theory data (PBE) for Tb7Pm2Sm after structural relaxation.

Cell and atoms, written as CIF:
```
data_Tb7Pm2Sm
_cell_length_a 6.205
_cell_length_b 6.213
_cell_length_c 9.480
_cell_angle_alpha 102.59
_cell_angle_beta 109.05
_cell_angle_gamma 99.52
_symmetry_space_group_name_H-M 'P -1'
_symmetry_Int_Tables_number 2
_symmetry_space_group_name_Hall '-P 1'
loop_
_atom_site_label
_atom_site_type_symbol
_atom_site_fract_x
_atom_site_fract_y
_atom_site_fract_z
_atom_site_occupancy
Tb1 Tb 0.000 0.000 0.000 1
Tb2 Tb 0.199 0.499 0.900 1
Tb3 Tb 0.201 0.000 0.400 1
Tb4 Tb 0.399 0.500 0.300 1
Pm1 Pm 0.400 0.000 0.800 1
Sm1 Sm 0.000 0.500 0.500 1
```

## Properties
As for the crystal system: triclinic. For the energy relative to the lowest polymorph listed for this composition, the calculation gives 0.0 meV/atom.

Density functional theory data (PBE) for Tb3Pm2Sm5 after structural relaxation.

Cell and atoms, written as CIF:
```
data_Tb3Pm2Sm5
_cell_length_a 9.439
_cell_length_b 21.923
_cell_length_c 6.890
_cell_angle_alpha 90.00
_cell_angle_beta 90.00
_cell_angle_gamma 90.00
_symmetry_space_group_name_H-M 'I b a m'
_symmetry_Int_Tables_number 72
_symmetry_space_group_name_Hall '-I 2 2c'
loop_
_atom_site_label
_atom_site_type_symbol
_atom_site_fract_x
_atom_site_fract_y
_atom_site_fract_z
_atom_site_occupancy
Tb1 Tb 0.000 0.000 0.250 1
Tb2 Tb 0.249 0.122 0.000 1
Pm1 Pm 0.099 0.123 0.500 1
Sm1 Sm 0.000 0.249 0.250 1
Sm2 Sm 0.000 0.500 0.250 1
Sm3 Sm 0.094 0.374 0.000 1
```

## Properties
As for the crystal system: orthorhombic. For the energy relative to the lowest polymorph listed for this composition, the calculation gives 185.6 meV/atom.

Density functional theory data (PBE) for Tb5Pm5Sm after structural relaxation.

Cell and atoms, written as CIF:
```
data_Tb5Pm5Sm
_cell_length_a 6.1473
_cell_length_b 6.1473
_cell_length_c 11.6965
_cell_angle_alpha 90.00
_cell_angle_beta 90.00
_cell_angle_gamma 120.00
_symmetry_space_group_name_H-M 'P -6 m 2'
_symmetry_Int_Tables_number 187
_symmetry_space_group_name_Hall 'P -6 2'
loop_
_atom_site_label
_atom_site_type_symbol
_atom_site_fract_x
_atom_site_fract_y
_atom_site_fract_z
_atom_site_occupancy
Tb1 Tb 0.0000 0.0000 0.2345 1
Tb2 Tb 0.3349 0.1674 0.0000 1
Pm1 Pm 0.0000 0.0000 0.5000 1
Pm2 Pm 0.3333 0.6667 0.1794 1
Pm3 Pm 0.6667 0.3333 0.3437 1
Sm1 Sm 0.3333 0.6667 0.5000 1
```

## Properties
As for the crystal system: hexagonal.

Density functional theory data (PBE) for Tb8Pm3Sm after structural relaxation.

Cell and atoms, written as CIF:
```
data_Tb8Pm3Sm
_cell_length_a 6.480
_cell_length_b 11.367
_cell_length_c 11.505
_cell_angle_alpha 90.00
_cell_angle_beta 90.00
_cell_angle_gamma 90.00
_symmetry_space_group_name_H-M 'I m m m'
_symmetry_Int_Tables_number 71
_symmetry_space_group_name_Hall '-I 2 2'
loop_
_atom_site_label
_atom_site_type_symbol
_atom_site_fract_x
_atom_site_fract_y
_atom_site_fract_z
_atom_site_occupancy
Tb1 Tb 0.000 0.169 0.250 1
Tb2 Tb 0.250 0.249 0.000 1
Pm1 Pm 0.000 0.000 0.500 1
Pm2 Pm 0.000 0.500 0.250 1
Sm1 Sm 0.000 0.000 0.000 1
```

## Properties
As for the crystal system: orthorhombic.

Ordered energy of formation from the pure elements results: 0.369 0.014 0.097 0.426 0.098 0.016 0.375 0.294 0.299; unit eV per atom.
Ordered total magnetization results: 0.00 0.00 0.00 0.00 0.00 0.00 0.00 0.00 0.00; unit μB/atom.